# 1
Entry from Alexandria via LeMat-Bulk: an optimized crystal structure of KSrY2 (GGA-PBE).

Output
DFT total energy	-3.556	eV/atom
energy of formation	1.485	eV per formula unit

abc: 3.6586 3.6586 13.4660
angles: 90.00 90.00 113.44
With the nearest neighbours (Å) after each atom.
Sites, in units of the cell vectors:
Y1 0.0000 0.0000 0.9857  6 Y 3.66-4.02, 2 Sr 3.76, 2 K 4.09
Y2 0.0000 0.0000 0.5143  6 Y 3.66-4.02, 2 Sr 3.76, 2 K 4.09
Sr1 0.5000 0.5000 0.7500  6 Sr 3.66-4.02, 4 Y 3.76
K1 0.5000 0.5000 0.2500  6 K 3.66-4.02, 4 Y 4.09

---

# 2
Entry from Alexandria via LeMat-Bulk: an optimized crystal structure of Tc2Mo2Pd (GGA-PBE).

Output
DFT total energy	-9.301	eV/atom
energy of formation	1.082	eV per formula unit

abc: 7.3326 7.3326 2.9675
angles: 90.00 90.00 90.00
With the nearest neighbours (Å) after each atom.
Sites, in units of the cell vectors:
Mo1 0.8406 0.3406 0.5000  6 Tc 2.56-2.65
Mo2 0.6594 0.8406 0.5000  6 Tc 2.56-2.65
Mo3 0.1594 0.6594 0.5000  6 Tc 2.56-2.65
Mo4 0.3406 0.1594 0.5000  6 Tc 2.56-2.65
Tc1 0.6389 0.1389 0.0000  6 Mo 2.56-2.65, 2 Pd 2.84
Tc2 0.1389 0.3611 0.0000  6 Mo 2.56-2.65, 2 Pd 2.84
Tc3 0.8611 0.6389 0.0000  6 Mo 2.56-2.65, 2 Pd 2.84
Tc4 0.3611 0.8611 0.0000  6 Mo 2.56-2.65, 2 Pd 2.84
Pd1 0.0000 0.0000 0.0000  4 Tc 2.84, 2 Pd 2.97, 8 Mo 3.13
Pd2 0.5000 0.5000 0.0000  4 Tc 2.84, 2 Pd 2.97, 8 Mo 3.13

---

# 3
Entry from Alexandria via LeMat-Bulk: an optimized crystal structure of RbHgAsPb (GGA-PBE).

Output
DFT total energy	-2.473	eV/atom
energy of formation	-0.266	eV per formula unit

abc: 5.5833 5.5833 5.5833
angles: 60.00 60.00 60.00
With the nearest neighbours (Å) after each atom.
Sites, in units of the cell vectors:
Rb1 0.7500 0.7500 0.7500  4 Hg 3.42, 4 As 3.42
Hg1 0.0000 0.0000 0.0000  4 Rb 3.42, 4 Pb 3.42
Pb1 0.2500 0.2500 0.2500  4 Hg 3.42, 4 As 3.42
As1 0.5000 0.5000 0.5000  4 Pb 3.42, 4 Rb 3.42

---

What is the formula in the first record?
KSrY2